1.
# KMnCl2

An optimized crystal structure of KMnCl2 (PBE-GGA, the Alexandria database).

Geometry as extended XYZ:
```
4
Lattice="1.871 -4.109 0.000 1.871 4.109 0.000 0.000 0.000 8.236" Properties=species:S:1:pos:R:3 pbc="T T T"
K 0.000 0.000 0.000
Mn 0.000 0.000 4.118
Cl 1.871 0.000 2.443
Cl 1.871 0.000 5.794
```

* energy relative to the lowest polymorph listed for this composition: 69.6 kJ/mol of formula units
* size of the total moment: 1.0746 μB per atom
* crystal system: orthorhombic
* volume: 127 Å³ per cell
* energy relative to the elements, uncorrected: -0.807 eV/atom
* N(E_F): 2.39 states/eV per cell



2.
# FePC

An optimized crystal structure of FePC (PBE-GGA, the Alexandria database).

Geometry as extended XYZ:
```
3
Lattice="2.965 0.000 0.000 -1.482 2.568 0.000 0.000 0.000 4.188" Properties=species:S:1:pos:R:3 pbc="T T T"
Fe 0.000 0.000 0.000
P 0.000 1.712 1.414
C 0.000 1.712 3.181
```

* energy relative to the lowest polymorph listed for this composition: 68.9 kJ/mol of formula units
* size of the total moment: 0.0002 μB per atom
* crystal system: trigonal
* volume: 32 Å³ per cell
* N(E_F): 2.17 states/eV per cell
* energy relative to the elements: 8.5 kcal/mol of atoms